# 1
A plane-wave DFT calculation with GGA-PBE was carried out for a relaxed Cs2NaTc2O7 crystal.

Unit cell a=3.926 b=3.926 c=12.555 alpha=80.98 beta=80.98 gamma=90.00
Element x y z (fractional)
Cs 0.816 0.816 0.367
Cs 0.184 0.184 0.633
Na 0.000 0.000 0.000
Tc 0.580 0.580 0.841
Tc 0.420 0.420 0.159
O 0.500 0.500 0.000
O 0.344 0.344 0.312
O 0.656 0.656 0.688
O 0.922 0.422 0.155
O 0.422 0.922 0.155
O 0.578 0.078 0.845
O 0.078 0.578 0.845

Values from the calculation:
calculated total energy: -0.2348 Ha/atom
V: 15.72 Å³/atom

***

# 2
A plane-wave DFT calculation with GGA-PBE was carried out for a relaxed CsNaTeO4 crystal.

Unit cell a=6.356 b=6.521 c=7.884 alpha=90.00 beta=106.52 gamma=90.00
Element x y z (fractional)
Cs 0.717 0.750 0.946
Cs 0.283 0.250 0.054
Na 0.825 0.750 0.484
Na 0.175 0.250 0.516
Te 0.270 0.750 0.346
Te 0.730 0.250 0.654
O 0.923 0.469 0.681
O 0.077 0.969 0.319
O 0.077 0.531 0.319
O 0.923 0.031 0.681
O 0.410 0.750 0.170
O 0.590 0.250 0.830
O 0.480 0.750 0.562
O 0.520 0.250 0.438

Values from the calculation:
calculated total energy: -0.1818 Ha/atom
V: 22.38 Å³/atom

***

# 3
A plane-wave DFT calculation with GGA-PBE was carried out for a relaxed Cs2NaTeO crystal.

Unit cell a=6.205 b=6.205 c=4.473 alpha=90.00 beta=90.00 gamma=90.00
Site moments in Bohr magnetons follow the coordinates.
Element x y z (fractional)
Cs 0.000 0.500 0.000  0.01
Cs 0.500 0.000 0.000  0.01
Na 0.000 0.000 0.500  0.00
Te 0.500 0.500 0.500  0.15
O 0.000 0.000 0.000  0.34

Values from the calculation:
calculated total energy: -0.1136 Ha/atom
V: 34.44 Å³/atom

***

# 4
A plane-wave DFT calculation with GGA-PBE was carried out for a relaxed Cs2Na3TeO6 crystal.

Unit cell a=7.336 b=7.336 c=5.853 alpha=101.00 beta=101.00 gamma=125.47
Site moments in Bohr magnetons follow the coordinates.
Element x y z (fractional)
Cs 0.324 0.676 0.000  0.00
Cs 0.676 0.324 0.000  0.00
Na 0.109 0.891 0.500  0.00
Na 0.891 0.109 0.500  0.00
Na 0.500 0.500 0.500  0.00
Te 0.000 0.000 0.000  -0.02
O 0.922 0.710 0.763  0.17
O 0.807 0.807 0.174  0.12
O 0.078 0.290 0.237  0.17
O 0.710 0.922 0.763  0.17
O 0.193 0.193 0.826  0.12
O 0.290 0.078 0.237  0.17

Values from the calculation:
calculated total energy: -0.1662 Ha/atom
V: 19.43 Å³/atom

***

# 5
A plane-wave DFT calculation with GGA-PBE was carried out for a relaxed Cs2NaTeO4 crystal.

Unit cell a=5.846 b=7.241 c=11.479 alpha=84.10 beta=75.25 gamma=66.19
Site moments in Bohr magnetons follow the coordinates.
Element x y z (fractional)
Cs 0.177 0.000 0.647  0.01
Cs 0.823 0.000 0.353  0.01
Cs 0.573 0.500 0.853  0.01
Cs 0.927 0.500 0.147  0.01
Na 0.750 0.500 0.500  0.00
Na 0.000 0.000 0.000  0.00
Te 0.250 0.500 0.500  0.07
Te 0.500 0.000 0.000  0.07
O 0.336 0.824 0.088  0.12
O 0.248 0.176 0.912  0.12
O 0.839 0.824 0.912  0.12
O 0.576 0.176 0.088  0.12
O 0.414 0.676 0.412  0.12
O 0.502 0.324 0.588  0.12
O 0.911 0.676 0.588  0.12
O 0.174 0.324 0.412  0.12

Values from the calculation:
calculated total energy: -0.1646 Ha/atom
V: 26.87 Å³/atom

***

# 6
A plane-wave DFT calculation with GGA-PBE was carried out for a relaxed Cs2Na2ThO4 crystal.

Unit cell a=3.834 b=9.683 c=7.523 alpha=132.44 beta=104.76 gamma=90.00
Element x y z (fractional)
Cs 0.166 0.571 0.332
Cs 0.834 0.429 0.668
Na 0.651 0.924 0.302
Na 0.349 0.076 0.698
Th 0.000 0.000 0.000
O 0.197 0.101 0.395
O 0.803 0.899 0.605
O 0.441 0.799 0.881
O 0.559 0.201 0.119

Values from the calculation:
calculated total energy: -0.2059 Ha/atom
V: 21.49 Å³/atom

***

# 7
A plane-wave DFT calculation with GGA-PBE was carried out for a relaxed CsNaTiO3 crystal.

Unit cell a=5.663 b=6.072 c=6.490 alpha=62.11 beta=89.93 gamma=89.85
Element x y z (fractional)
Cs 0.750 0.266 0.467
Cs 0.250 0.734 0.533
Na 0.750 0.572 0.856
Na 0.250 0.428 0.144
O 0.500 0.211 0.999
O 0.000 0.210 0.001
O 0.000 0.790 0.999
O 0.500 0.789 0.001
O 0.750 0.797 0.406
O 0.250 0.203 0.594
Ti 0.250 0.048 0.903
Ti 0.750 0.952 0.097

Values from the calculation:
calculated total energy: -0.2412 Ha/atom
V: 16.44 Å³/atom

***

# 8
A plane-wave DFT calculation with GGA-PBE was carried out for a relaxed CsNa3TiO4 crystal.

Unit cell a=6.610 b=8.638 c=11.426 alpha=82.63 beta=76.15 gamma=79.72
Element x y z (fractional)
Cs 0.042 0.135 0.626
Cs 0.958 0.865 0.374
Cs 0.033 0.381 0.873
Cs 0.967 0.619 0.127
Na 0.203 0.166 0.145
Na 0.797 0.834 0.855
Na 0.505 0.665 0.393
Na 0.495 0.335 0.607
Na 0.182 0.446 0.397
Na 0.539 0.430 0.126
Na 0.204 0.942 0.896
Na 0.796 0.058 0.104
Na 0.571 0.956 0.625
Na 0.429 0.044 0.375
Na 0.461 0.570 0.874
Na 0.818 0.554 0.603
O 0.347 0.838 0.542
O 0.653 0.162 0.458
O 0.429 0.114 0.785
O 0.571 0.886 0.215
O 0.182 0.714 0.804
O 0.818 0.286 0.196
O 0.817 0.084 0.897
O 0.183 0.916 0.103
O 0.669 0.377 0.753
O 0.331 0.623 0.247
O 0.587 0.690 0.005
O 0.413 0.310 0.995
O 0.887 0.798 0.645
O 0.798 0.482 0.412
O 0.113 0.202 0.355
O 0.202 0.518 0.588
Ti 0.165 0.715 0.645
Ti 0.835 0.285 0.355
Ti 0.580 0.213 0.862
Ti 0.420 0.787 0.138

Values from the calculation:
calculated total energy: -0.2099 Ha/atom
V: 17.24 Å³/atom

***

# 9
A plane-wave DFT calculation with GGA-PBE was carried out for a relaxed Cs2Na3TlO4 crystal.

Unit cell a=6.520 b=10.347 c=12.137 alpha=90.00 beta=99.74 gamma=90.00
Element x y z (fractional)
Cs 0.102 0.269 0.389
Cs 0.398 0.769 0.111
Cs 0.898 0.731 0.611
Cs 0.141 0.999 0.867
Cs 0.602 0.231 0.889
Cs 0.859 0.001 0.133
Cs 0.641 0.501 0.367
Cs 0.359 0.499 0.633
Na 0.585 0.256 0.197
Na 0.384 0.027 0.295
Na 0.884 0.473 0.795
Na 0.415 0.744 0.803
Na 0.205 0.008 0.569
Na 0.915 0.756 0.303
Na 0.705 0.492 0.069
Na 0.116 0.527 0.205
Na 0.295 0.508 0.931
Na 0.616 0.973 0.705
Na 0.795 0.992 0.431
Na 0.085 0.244 0.697
Tl 0.839 0.718 0.937
Tl 0.339 0.782 0.437
Tl 0.161 0.282 0.063
Tl 0.661 0.218 0.563
O 0.892 0.690 0.120
O 0.392 0.810 0.620
O 0.608 0.190 0.380
O 0.673 0.901 0.891
O 0.097 0.678 0.847
O 0.327 0.099 0.109
O 0.827 0.401 0.609
O 0.597 0.822 0.347
O 0.903 0.322 0.153
O 0.113 0.942 0.376
O 0.613 0.558 0.876
O 0.403 0.178 0.653
O 0.108 0.310 0.880
O 0.887 0.058 0.624
O 0.173 0.599 0.391
O 0.387 0.442 0.124

Values from the calculation:
calculated total energy: -0.1450 Ha/atom
V: 20.17 Å³/atom

***

# 10
A plane-wave DFT calculation with GGA-PBE was carried out for a relaxed Cs2Na2TlO4 crystal.

Unit cell a=4.176 b=6.644 c=7.000 alpha=106.78 beta=107.36 gamma=90.00
Site moments in Bohr magnetons follow the coordinates.
Element x y z (fractional)
Cs 0.138 0.545 0.277  0.00
Cs 0.862 0.455 0.723  0.00
Na 0.669 0.993 0.338  0.00
Na 0.331 0.007 0.662  0.00
Tl 0.000 0.000 0.000  -0.01
O 0.170 0.117 0.341  0.02
O 0.830 0.883 0.659  0.02
O 0.499 0.774 0.999  0.42
O 0.501 0.226 0.001  0.42

Values from the calculation:
calculated total energy: -0.1428 Ha/atom
V: 19.63 Å³/atom

***

# 11
A plane-wave DFT calculation with GGA-PBE was carried out for a relaxed Cs2Na2UO6 crystal.

Unit cell a=6.075 b=6.075 c=7.246 alpha=101.31 beta=101.31 gamma=115.97
Site moments in Bohr magnetons follow the coordinates.
Element x y z (fractional)
Cs 0.819 0.181 0.000  0.01
Cs 0.181 0.819 0.000  0.01
Na 0.340 0.660 0.500  0.00
Na 0.660 0.340 0.500  0.00
U 0.000 0.000 0.500  0.26
O 0.790 0.790 0.655  0.24
O 0.048 0.335 0.671  0.25
O 0.210 0.210 0.345  0.24
O 0.335 0.048 0.671  0.25
O 0.952 0.665 0.329  0.25
O 0.665 0.952 0.329  0.25

Values from the calculation:
calculated total energy: -0.2228 Ha/atom
V: 20.31 Å³/atom

***

# 12
A plane-wave DFT calculation with GGA-PBE was carried out for a relaxed CsNaU2O7 crystal.

Unit cell a=4.259 b=4.259 c=11.134 alpha=90.00 beta=90.00 gamma=90.00
Element x y z (fractional)
Cs 0.000 0.000 0.500
Na 0.000 0.000 0.000
U 0.500 0.500 0.189
U 0.500 0.500 0.811
O 0.500 0.500 0.639
O 0.000 0.500 0.174
O 0.500 0.000 0.174
O 0.000 0.500 0.826
O 0.500 0.000 0.826
O 0.500 0.500 0.361
O 0.500 0.500 0.000

Values from the calculation:
calculated total energy: -0.3018 Ha/atom
V: 18.36 Å³/atom

***

# 13
A plane-wave DFT calculation with GGA-PBE was carried out for a relaxed Cs3NaU2O9 crystal.

Unit cell a=6.378 b=6.378 c=7.889 alpha=90.00 beta=90.00 gamma=120.00
Site moments in Bohr magnetons follow the coordinates.
Element x y z (fractional)
Cs 0.333 0.667 0.651  0.01
Cs 0.000 0.000 0.000  0.01
Cs 0.667 0.333 0.349  0.01
Na 0.000 0.000 0.500  0.00
U 0.333 0.667 0.155  0.01
U 0.667 0.333 0.845  0.01
O 0.814 0.186 0.701  0.21
O 0.814 0.627 0.701  0.21
O 0.373 0.186 0.701  0.21
O 0.627 0.814 0.299  0.21
O 0.186 0.373 0.299  0.21
O 0.186 0.814 0.299  0.21
O 0.500 0.000 0.000  0.13
O 0.000 0.500 0.000  0.13
O 0.500 0.500 0.000  0.13

Values from the calculation:
calculated total energy: -0.2591 Ha/atom
V: 18.53 Å³/atom

***

# 14
A plane-wave DFT calculation with GGA-PBE was carried out for a relaxed CsNa2U2O7 crystal.

Unit cell a=4.379 b=4.379 c=10.434 alpha=102.11 beta=102.10 gamma=90.00
Site moments in Bohr magnetons follow the coordinates.
Element x y z (fractional)
Cs 0.000 0.000 0.000  0.00
Na 0.250 0.750 0.500  0.00
Na 0.750 0.250 0.500  0.00
U 0.390 0.390 0.779  0.55
U 0.610 0.610 0.221  0.55
O 0.388 0.888 0.775  -0.02
O 0.710 0.710 0.420  -0.02
O 0.112 0.612 0.225  -0.02
O 0.612 0.112 0.225  -0.02
O 0.290 0.290 0.580  -0.02
O 0.888 0.388 0.775  -0.02
O 0.500 0.500 0.000  -0.02

Values from the calculation:
calculated total energy: -0.2848 Ha/atom
V: 15.92 Å³/atom

***

# 15
A plane-wave DFT calculation with GGA-PBE was carried out for a relaxed Cs2NaUO4 crystal.

Unit cell a=3.648 b=6.314 c=7.178 alpha=108.79 beta=90.00 gamma=90.00
Site moments in Bohr magnetons follow the coordinates.
Element x y z (fractional)
Cs 0.500 0.000 0.500  0.00
Cs 0.000 0.500 0.500  0.00
Na 0.000 0.000 0.000  0.00
U 0.500 0.500 0.000  1.05
O 0.500 0.289 0.161  -0.03
O 0.500 0.711 0.839  -0.03
O 0.000 0.308 0.828  -0.03
O 0.000 0.692 0.172  -0.03

Values from the calculation:
calculated total energy: -0.2390 Ha/atom
V: 19.57 Å³/atom

***

# 16
A plane-wave DFT calculation with GGA-PBE was carried out for a relaxed Cs2NaU2O7 crystal.

Unit cell a=4.345 b=4.345 c=12.412 alpha=79.93 beta=79.93 gamma=90.00
Site moments in Bohr magnetons follow the coordinates.
Element x y z (fractional)
Cs 0.810 0.810 0.380  0.00
Cs 0.190 0.190 0.620  0.00
Na 0.000 0.000 0.000  0.00
U 0.588 0.588 0.824  0.55
U 0.412 0.412 0.176  0.55
O 0.500 0.500 0.000  -0.02
O 0.330 0.330 0.341  -0.02
O 0.670 0.670 0.659  -0.02
O 0.915 0.415 0.170  -0.02
O 0.415 0.915 0.170  -0.02
O 0.585 0.085 0.830  -0.02
O 0.085 0.585 0.830  -0.02

Values from the calculation:
calculated total energy: -0.2838 Ha/atom
V: 18.92 Å³/atom